# PBE-GGA CaLaAgTe3, relaxed
data_CaLaAgTe3
_chemical_formula_sum 'Ca2 La2 Ag2 Te6'
_symmetry_space_group_name_H-M 'P 1 21/m 1'
_symmetry_Int_Tables_number 11
_symmetry_space_group_name_Hall '-P 2yb'
_cell_length_a 9.017
_cell_length_b 4.391
_cell_length_c 9.885
_cell_angle_alpha 90.00
_cell_angle_beta 102.37
_cell_angle_gamma 90.00
loop_
_atom_site_label
_atom_site_fract_x
_atom_site_fract_y
_atom_site_fract_z
Ca1 0.167 0.250 0.166
La1 0.317 0.750 0.758
Ag1 0.418 0.750 0.418
Te1 0.085 0.250 0.839
Te2 0.247 0.250 0.499
Te3 0.414 0.750 0.129
# Total magnetic moment ... 0.00 Bohr magnetons per cell
# Crystal system ... monoclinic
# Calculated total energy ... -53.332 eV for the cell shown
# Calculated density ... 5.82 g/cm3
# Energy relative to the elements, uncorrected ... -1.24 eV/atom